Record 1
Below is an optimized crystal structure of Cs3TmBi2, with properties calculated at the PBE-GGA level.

Cell: 11.121 11.121 11.541 Å, 106.90 106.90 28.48°
Fractional coordinates of all 12 atoms:
Cs: 0.060 0.060 0.182
Cs: 0.204 0.204 0.579
Cs: 0.317 0.317 0.950
Cs: 0.683 0.683 0.050
Cs: 0.796 0.796 0.421
Cs: 0.940 0.940 0.818
Tm: 0.441 0.441 0.338
Tm: 0.559 0.559 0.662
Bi: 0.114 0.114 0.814
Bi: 0.410 0.410 0.582
Bi: 0.590 0.590 0.418
Bi: 0.886 0.886 0.186

## Properties
ΔE_f ... -2.4 eV per formula unit
N(E_F) ... 0.2700 states/eV/atom
Total energy ... -2.8577 eV/atom

Record 2
Below is an optimized crystal structure of CsUBi2, with properties calculated at the PBE-GGA level.

Cell: 4.708 4.708 26.815 Å, 90.00 90.00 120.00°
Fractional coordinates of all 12 atoms:
Cs: 0.000 0.000 0.000
Cs: 0.333 0.667 0.667
Cs: 0.667 0.333 0.333
U: 0.000 0.000 0.500
U: 0.333 0.667 0.167
U: 0.667 0.333 0.833
Bi: 0.000 0.000 0.225
Bi: 0.000 0.000 0.775
Bi: 0.333 0.667 0.441
Bi: 0.333 0.667 0.892
Bi: 0.667 0.333 0.108
Bi: 0.667 0.333 0.559

## Properties
ΔE_f ... 0.0 eV per formula unit
N(E_F) ... 1.3020 states/eV/atom
Total energy ... -4.9883 eV/atom
Offset from the most stable computed form ... 76 meV/atom

Record 3
Below is an optimized crystal structure of CsUBi2, with properties calculated at the PBE-GGA level.

Cell: 3.703 3.703 10.233 Å, 90.00 90.00 90.00°
Fractional coordinates of all 4 atoms:
Cs: 0.000 0.000 0.000
U: 0.000 0.000 0.500
Bi: 0.500 0.500 0.291
Bi: 0.500 0.500 0.709

## Properties
ΔE_f ... -0.4 eV per formula unit
N(E_F) ... 1.1488 states/eV/atom
Total energy ... -5.0648 eV/atom
Offset from the most stable computed form ... 0 meV/atom

Record 4
Below is an optimized crystal structure of Cs3VBi, with properties calculated at the PBE-GGA level.

Cell: 6.614 6.614 6.614 Å, 90.00 90.00 90.00°
Fractional coordinates of all 5 atoms:
Cs: 0.000 0.000 0.500
Cs: 0.000 0.500 0.000
Cs: 0.500 0.000 0.000
V: 0.000 0.000 0.000
Bi: 0.500 0.500 0.500

## Properties
ΔE_f ... 4.1 eV per formula unit
N(E_F) ... 1.4643 states/eV/atom
Total energy ... -2.2899 eV/atom

Record 5
Below is an optimized crystal structure of CsVBi3, with properties calculated at the PBE-GGA level.

Cell: 5.499 5.499 5.499 Å, 90.00 90.00 90.00°
Fractional coordinates of all 5 atoms:
Cs: 0.000 0.000 0.000
V: 0.500 0.500 0.500
Bi: 0.000 0.500 0.500
Bi: 0.500 0.000 0.500
Bi: 0.500 0.500 0.000

## Properties
ΔE_f ... 0.7 eV per formula unit
N(E_F) ... 1.4756 states/eV/atom
Total energy ... -4.1761 eV/atom
Offset from the most stable computed form ... 0 meV/atom

Record 6
Below is an optimized crystal structure of Cs2VBi4, with properties calculated at the PBE-GGA level.

Cell: 5.459 5.459 20.207 Å, 90.00 90.00 90.00°
Fractional coordinates of all 14 atoms:
Cs: 0.000 0.000 0.162
Cs: 0.000 0.000 0.838
Cs: 0.500 0.500 0.338
Cs: 0.500 0.500 0.662
V: 0.000 0.000 0.500
V: 0.500 0.500 0.000
Bi: 0.000 0.000 0.367
Bi: 0.000 0.000 0.633
Bi: 0.000 0.500 0.000
Bi: 0.000 0.500 0.500
Bi: 0.500 0.000 0.000
Bi: 0.500 0.000 0.500
Bi: 0.500 0.500 0.133
Bi: 0.500 0.500 0.867

## Properties
ΔE_f ... 0.4 eV per formula unit
N(E_F) ... 0.9484 states/eV/atom
Total energy ... -3.7128 eV/atom

Record 7
Below is an optimized crystal structure of CsVBi2, with properties calculated at the PBE-GGA level.

Cell: 7.968 7.968 7.968 Å, 90.00 90.00 90.00°
Fractional coordinates of all 16 atoms:
Cs: 0.000 0.000 0.000
Cs: 0.000 0.500 0.500
Cs: 0.500 0.000 0.500
Cs: 0.500 0.500 0.000
V: 0.000 0.000 0.500
V: 0.000 0.500 0.000
V: 0.500 0.000 0.000
V: 0.500 0.500 0.500
Bi: 0.250 0.250 0.250
Bi: 0.250 0.250 0.750
Bi: 0.250 0.750 0.250
Bi: 0.250 0.750 0.750
Bi: 0.750 0.250 0.250
Bi: 0.750 0.250 0.750
Bi: 0.750 0.750 0.250
Bi: 0.750 0.750 0.750

## Properties
ΔE_f ... 2.3 eV per formula unit
N(E_F) ... 0.3804 states/eV/atom
Total energy ... -3.8691 eV/atom
Offset from the most stable computed form ... 476 meV/atom

Record 8
Below is an optimized crystal structure of CsVBi3, with properties calculated at the PBE-GGA level.

Cell: 6.170 6.170 6.170 Å, 90.00 90.00 90.00°
Fractional coordinates of all 5 atoms:
Cs: 0.000 0.000 0.000
V: 0.500 0.500 0.500
Bi: 0.000 0.000 0.500
Bi: 0.000 0.500 0.000
Bi: 0.500 0.000 0.000

## Properties
ΔE_f ... 10.7 eV per formula unit
N(E_F) ... 2.3392 states/eV/atom
Total energy ... -2.1924 eV/atom
Offset from the most stable computed form ... 1984 meV/atom

Record 9
Below is an optimized crystal structure of CsVBi2, with properties calculated at the PBE-GGA level.

Cell: 3.534 3.534 9.797 Å, 90.00 90.00 90.00°
Fractional coordinates of all 4 atoms:
Cs: 0.000 0.000 0.000
V: 0.000 0.000 0.500
Bi: 0.500 0.500 0.319
Bi: 0.500 0.500 0.681

## Properties
ΔE_f ... 0.4 eV per formula unit
N(E_F) ... 0.3879 states/eV/atom
Total energy ... -4.3453 eV/atom
Offset from the most stable computed form ... 0 meV/atom

Record 10
Below is an optimized crystal structure of CsBiW3, with properties calculated at the PBE-GGA level.

Cell: 5.012 5.012 5.012 Å, 90.00 90.00 90.00°
Fractional coordinates of all 5 atoms:
Cs: 0.000 0.000 0.000
Bi: 0.500 0.500 0.500
W: 0.000 0.000 0.500
W: 0.000 0.500 0.000
W: 0.500 0.000 0.000

## Properties
ΔE_f ... 18.8 eV per formula unit
N(E_F) ... 0.9096 states/eV/atom
Total energy ... -4.9625 eV/atom
Offset from the most stable computed form ... 571 meV/atom

Record 11
Below is an optimized crystal structure of CsBi2W, with properties calculated at the PBE-GGA level.

Cell: 7.761 7.761 7.761 Å, 90.00 90.00 90.00°
Fractional coordinates of all 16 atoms:
Cs: 0.000 0.000 0.000
Cs: 0.000 0.500 0.500
Cs: 0.500 0.000 0.500
Cs: 0.500 0.500 0.000
Bi: 0.250 0.250 0.250
Bi: 0.250 0.250 0.750
Bi: 0.250 0.750 0.250
Bi: 0.250 0.750 0.750
Bi: 0.750 0.250 0.250
Bi: 0.750 0.250 0.750
Bi: 0.750 0.750 0.250
Bi: 0.750 0.750 0.750
W: 0.000 0.000 0.500
W: 0.000 0.500 0.000
W: 0.500 0.000 0.000
W: 0.500 0.500 0.500

## Properties
ΔE_f ... 4.5 eV per formula unit
N(E_F) ... 0.4844 states/eV/atom
Total energy ... -4.2703 eV/atom

Record 12
Below is an optimized crystal structure of Cs2BiW, with properties calculated at the PBE-GGA level.

Cell: 8.950 8.950 8.950 Å, 90.00 90.00 90.00°
Fractional coordinates of all 16 atoms:
Cs: 0.250 0.250 0.250
Cs: 0.250 0.250 0.750
Cs: 0.250 0.750 0.250
Cs: 0.250 0.750 0.750
Cs: 0.750 0.250 0.250
Cs: 0.750 0.250 0.750
Cs: 0.750 0.750 0.250
Cs: 0.750 0.750 0.750
Bi: 0.000 0.000 0.000
Bi: 0.000 0.500 0.500
Bi: 0.500 0.000 0.500
Bi: 0.500 0.500 0.000
W: 0.000 0.000 0.500
W: 0.000 0.500 0.000
W: 0.500 0.000 0.000
W: 0.500 0.500 0.500

## Properties
ΔE_f ... 6.0 eV per formula unit
N(E_F) ... 0.9352 states/eV/atom
Total energy ... -3.1305 eV/atom
Offset from the most stable computed form ... 535 meV/atom